{"formula": "CdCu3Tc", "functional": "PBE-GGA", "state": "optimized geometry", "cell": [[4.676, 0.000, 0.000], [0.000, 4.676, 0.000], [0.000, 0.000, 4.676]], "species": ["Cd", "Cu", "Cu", "Cu", "Tc"], "frac_coords": [[0.500, 0.500, 0.500], [0.000, 0.000, 0.500], [0.000, 0.500, 0.000], [0.500, 0.000, 0.000], [0.000, 0.000, 0.000]], "dos_ef_per_ev_atom": 0.946, "formation_energy_ev_per_atom": 1.2440, "vol_a3_per_cell": 102.2, "total_energy_ev_per_atom": -3.47}

***

{"formula": "HfPaIn2", "functional": "PBE-GGA", "state": "optimized geometry", "cell": [[3.199, 0.000, 0.000], [1.599, 2.770, 0.000], [1.599, 0.923, 10.699]], "species": ["Pa", "In", "Hf", "In"], "frac_coords": [[0.500, 0.500, 0.500], [0.254, 0.254, 0.238], [0.000, 0.000, 0.000], [0.746, 0.746, 0.762]], "dos_ef_per_ev_atom": 0.996, "formation_energy_ev_per_atom": -0.0714, "vol_a3_per_cell": 94.8, "total_energy_ev_per_atom": -6.30}

***

{"formula": "UGeTe2N", "functional": "PBE-GGA", "state": "optimized geometry", "cell": [[-3.139, -0.591, -2.422], [-1.553, -2.582, 2.644], [-7.024, 10.839, 6.458]], "species": ["Te", "Te", "Te", "Ge", "Te", "N", "N", "U", "Ge", "U"], "frac_coords": [[0.000, 0.500, 0.111], [0.000, 0.500, 0.693], [0.500, 0.000, 0.889], [0.000, 0.500, 0.913], [0.500, 0.000, 0.307], [0.500, 0.500, 0.500], [0.000, 0.000, 0.500], [0.000, 0.500, 0.424], [0.500, 0.000, 0.087], [0.500, 0.000, 0.576]], "dos_ef_per_ev_atom": 1.244, "vol_a3_per_cell": 232.1, "total_energy_ev_per_atom": -6.82, "formation_energy_uncorrected_ev_per_fu": -3.6}

***

{"formula": "Cr2SbCl", "functional": "PBE-GGA", "state": "optimized geometry", "cell": [[3.458, 0.034, 0.000], [-1.127, 3.269, 0.000], [0.000, 0.000, 7.426]], "species": ["Cr", "Cl", "Cr", "Sb"], "frac_coords": [[0.000, 0.000, 0.002], [0.500, 0.500, 0.750], [0.000, 0.000, 0.498], [0.500, 0.500, 0.250]], "dos_ef_per_ev_atom": 0.467, "vol_a3_per_cell": 84.2, "total_energy_ev_per_atom": -6.06, "formation_energy_uncorrected_ev_per_fu": 1.0}

***

{"formula": "Th6Co3OsRh2", "functional": "PBE-GGA", "state": "optimized geometry", "cell": [[4.018, 0.000, 0.000], [0.000, 8.057, 0.264], [-2.009, -2.344, 8.449]], "species": ["Th", "Co", "Th", "Th", "Co", "Th", "Os", "Rh", "Th", "Th", "Rh", "Co"], "frac_coords": [[0.668, 0.080, 0.335], [0.170, 0.835, 0.340], [0.332, 0.920, 0.665], [0.002, 0.748, 0.005], [0.500, 0.500, 0.000], [0.998, 0.252, 0.995], [0.500, 0.000, 0.000], [0.169, 0.343, 0.338], [0.337, 0.406, 0.673], [0.663, 0.594, 0.327], [0.831, 0.657, 0.662], [0.830, 0.165, 0.660]], "dos_ef_per_ev_atom": 0.456, "formation_energy_ev_per_atom": -0.4482, "vol_a3_per_cell": 276.0, "total_energy_ev_per_atom": -8.10}

***

{"formula": "TiCd2Au8", "functional": "PBE-GGA", "state": "optimized geometry", "cell": [[-3.349, -1.096, -3.533], [0.809, -4.988, 0.781], [-4.263, 1.620, 7.063]], "species": ["Ti", "Cd", "Au", "Au", "Au", "Au", "Au", "Au", "Au", "Cd", "Au"], "frac_coords": [[0.500, 0.000, 0.000], [0.139, 0.805, 0.278], [0.953, 0.744, 0.905], [0.047, 0.256, 0.095], [0.327, 0.904, 0.655], [0.235, 0.354, 0.469], [0.586, 0.548, 0.172], [0.414, 0.452, 0.828], [0.765, 0.646, 0.531], [0.861, 0.195, 0.722], [0.673, 0.096, 0.345]], "dos_ef_per_ev_atom": 0.465, "formation_energy_ev_per_atom": -0.1728, "vol_a3_per_cell": 202.6, "total_energy_ev_per_atom": -3.44}

***

{"formula": "ZrTi2Sn2", "functional": "PBE-GGA", "state": "optimized geometry", "cell": [[-0.442, 2.443, -4.054], [2.283, -1.448, -3.911], [-3.463, -2.572, -3.963]], "species": ["Ti", "Ti", "Sn", "Zr", "Sn"], "frac_coords": [[0.808, 0.308, 0.576], [0.192, 0.692, 0.424], [0.593, 0.093, 0.223], [0.000, 0.500, 0.000], [0.407, 0.907, 0.777]], "dos_ef_per_ev_atom": 1.117, "formation_energy_ev_per_atom": -0.2660, "vol_a3_per_cell": 101.2, "total_energy_ev_per_atom": -6.73}

***

{"formula": "SmGdBiAu", "functional": "PBE-GGA", "state": "optimized geometry", "cell": [[-1.792, 4.670, 1.944], [-0.494, 0.688, 5.299], [3.351, 3.285, 2.603]], "species": ["Au", "Bi", "Sm", "Gd"], "frac_coords": [[0.000, 0.000, 0.000], [0.500, 0.500, 0.500], [0.250, 0.250, 0.250], [0.750, 0.750, 0.750]], "dos_ef_per_ev_atom": 1.363, "formation_energy_ev_per_atom": -0.6968, "vol_a3_per_cell": 109.3, "total_energy_ev_per_atom": -7.19}

***

| no. | total magnetic moment (μB/atom) |
| --- | --- |
| 1 | 0.365 |
| 2 | 0.000 |
| 3 | 0.233 |
| 4 | 2.117 |
| 5 | 0.000 |
| 6 | 0.000 |
| 7 | 0.000 |
| 8 | 2.038 |